No. 1
Below is a geometry-optimized TiNiAs structure, with properties calculated at the PBE level.

Properties
E_form = -0.776 eV/atom
Volume = 167 Å³/cell
E_tot = -6.8851 eV/atom

Cell lengths 3.7318, 6.2439, 7.1671 Å; angles 90.00, 90.00, 90.00 degrees
Sites, in units of the cell vectors:
Ti  0.2500  0.9737  0.6779
Ti  0.7500  0.5263  0.1779
Ti  0.7500  0.0263  0.3221
Ti  0.2500  0.4737  0.8221
Ni  0.2500  0.3523  0.4369
Ni  0.7500  0.6477  0.5631
Ni  0.2500  0.8523  0.0631
Ni  0.7500  0.1477  0.9369
As  0.2500  0.2339  0.1225
As  0.2500  0.7339  0.3775
As  0.7500  0.7661  0.8775
As  0.7500  0.2661  0.6225

=====

No. 2
Below is a geometry-optimized TaTi3Co structure, with properties calculated at the PBE level.

Properties
E_form = 1.442 eV/atom
Volume = 106 Å³/cell
E_tot = -7.0863 eV/atom
Energy relative to the lowest polymorph listed for this composition = 1568 meV/atom

Cell lengths 4.7315, 4.7315, 4.7315 Å; angles 90.00, 90.00, 90.00 degrees
Sites, in units of the cell vectors:
Co  0.5000  0.5000  0.5000
Ti  0.5000  0.0000  0.0000
Ti  0.0000  0.5000  0.0000
Ti  0.0000  0.0000  0.5000
Ta  0.0000  0.0000  0.0000